(1)
Below is a geometry-optimized PaZnOsRh structure, with properties calculated at the PBE level.

Properties
Density (Mg/m³): 13.9
E_tot (Ha/atom): -0.28212
Calculated formation energy (eV/atom): -0.34
SG: No. 216

Unit cell a=4.634 b=4.634 c=4.634 alpha=60.00 beta=60.00 gamma=60.00
Fractional coordinates of all 4 atoms:
Pa 0.000 0.000 0.000
Zn 0.500 0.500 0.500
Os 0.250 0.250 0.250
Rh 0.750 0.750 0.750



(2)
Below is a geometry-optimized Th2Ga8Rh structure, with properties calculated at the PBE level.

Properties
Density (Mg/m³): 8.4
E_tot (Ha/atom): -0.17489
Calculated formation energy (eV/atom): -0.54
SG: No. 123

Unit cell a=4.414 b=4.414 c=11.467 alpha=90.00 beta=90.00 gamma=90.00
Fractional coordinates of all 11 atoms:
Th 0.000 0.000 0.195
Th 0.000 0.000 0.805
Ga 0.000 0.500 0.000
Ga 0.000 0.500 0.383
Ga 0.000 0.500 0.617
Ga 0.500 0.000 0.000
Ga 0.500 0.000 0.383
Ga 0.500 0.000 0.617
Ga 0.500 0.500 0.198
Ga 0.500 0.500 0.802
Rh 0.000 0.000 0.500



(3)
Below is a geometry-optimized CaH2W2 structure, with properties calculated at the PBE level.

Properties
Density (Mg/m³): 10.1
Excess energy over the best structure of this formula in the dataset (eV/atom): 0.000
E_tot (Ha/atom): -0.23640
SG: No. 139

Unit cell a=6.046 b=6.046 c=6.046 alpha=146.40 beta=146.40 gamma=48.26
Fractional coordinates of all 5 atoms:
Ca 0.000 0.000 0.000
H 0.250 0.750 0.500
H 0.750 0.250 0.500
W 0.314 0.314 0.000
W 0.686 0.686 0.000



(4)
Below is a geometry-optimized Tm3CuSi4 structure, with properties calculated at the PBE level.

Properties
Density (Mg/m³): 6.7
E_tot (Ha/atom): -0.19810
SG: No. 71

Unit cell a=7.978 b=7.978 c=7.978 alpha=149.46 beta=139.05 gamma=51.93
Fractional coordinates of all 8 atoms:
Tm 0.000 0.000 0.000
Tm 0.306 0.806 0.500
Tm 0.694 0.194 0.500
Cu 0.500 0.500 0.000
Si 0.093 0.381 0.712
Si 0.332 0.619 0.712
Si 0.668 0.381 0.288
Si 0.907 0.619 0.288



(5)
Below is a geometry-optimized YTl3Sb structure, with properties calculated at the PBE level.

Properties
Density (Mg/m³): 7.4
Excess energy over the best structure of this formula in the dataset (eV/atom): 0.000
E_tot (Ha/atom): -0.11064
SG: No. 221

Unit cell a=5.707 b=5.707 c=5.707 alpha=90.00 beta=90.00 gamma=90.00
Fractional coordinates of all 5 atoms:
Y 0.000 0.000 0.000
Tl 0.000 0.500 0.500
Tl 0.500 0.000 0.500
Tl 0.500 0.500 0.000
Sb 0.500 0.500 0.500



(6)
Below is a geometry-optimized PmEr2In2Hg2 structure, with properties calculated at the PBE level.

Properties
Density (Mg/m³): 9.8
E_tot (Ha/atom): -0.11533
Calculated formation energy (eV/atom): -0.29
SG: No. 166

Unit cell a=9.306 b=9.306 c=9.306 alpha=30.84 beta=30.84 gamma=30.84
Fractional coordinates of all 7 atoms:
Pm 0.000 0.000 0.000
Er 0.132 0.132 0.132
Er 0.868 0.868 0.868
In 0.266 0.266 0.266
In 0.734 0.734 0.734
Hg 0.431 0.431 0.431
Hg 0.569 0.569 0.569



(7)
Below is a geometry-optimized Na4PmHo3Se8 structure, with properties calculated at the PBE level.

Properties
Density (Mg/m³): 5.4
E_tot (Ha/atom): -0.18109
SG: No. 166

Unit cell a=8.498 b=8.498 c=8.498 alpha=58.63 beta=58.63 gamma=58.63
Fractional coordinates of all 16 atoms:
Na 0.000 0.000 0.000
Na 0.000 0.500 0.500
Na 0.500 0.000 0.500
Na 0.500 0.500 0.000
Pm 0.500 0.500 0.500
Ho 0.000 0.000 0.500
Ho 0.000 0.500 0.000
Ho 0.500 0.000 0.000
Se 0.237 0.747 0.747
Se 0.243 0.243 0.243
Se 0.253 0.253 0.763
Se 0.253 0.763 0.253
Se 0.747 0.237 0.747
Se 0.747 0.747 0.237
Se 0.757 0.757 0.757
Se 0.763 0.253 0.253



(8)
Below is a geometry-optimized Ba3Pa2TlO9 structure, with properties calculated at the PBE level.

Properties
Density (Mg/m³): 7.3
E_tot (Ha/atom): -0.28038
SG: No. 164

Unit cell a=6.380 b=6.380 c=7.841 alpha=90.00 beta=90.00 gamma=120.00
Fractional coordinates of all 15 atoms:
Ba 0.000 0.000 0.000
Ba 0.333 0.667 0.634
Ba 0.667 0.333 0.366
Pa 0.333 0.667 0.161
Pa 0.667 0.333 0.839
Tl 0.000 0.000 0.500
O 0.000 0.500 0.000
O 0.179 0.358 0.322
O 0.179 0.821 0.322
O 0.358 0.179 0.678
O 0.500 0.000 0.000
O 0.500 0.500 0.000
O 0.642 0.821 0.322
O 0.821 0.179 0.678
O 0.821 0.642 0.678



(9)
Below is a geometry-optimized KBeIr4 structure, with properties calculated at the PBE level.

Properties
Density (Mg/m³): 13.1
E_tot (Ha/atom): -0.22024
Calculated formation energy (eV/atom): 0.72
SG: No. 216

Unit cell a=5.273 b=5.273 c=5.273 alpha=60.00 beta=60.00 gamma=60.00
Fractional coordinates of all 6 atoms:
K 0.000 0.000 0.000
Be 0.750 0.750 0.750
Ir 0.376 0.376 0.376
Ir 0.376 0.376 0.873
Ir 0.376 0.873 0.376
Ir 0.873 0.376 0.376



(10)
Below is a geometry-optimized Pm2PSe structure, with properties calculated at the PBE level.

Properties
Density (Mg/m³): 7.1
Excess energy over the best structure of this formula in the dataset (eV/atom): 0.443
E_tot (Ha/atom): -0.21851
SG: No. 123

Unit cell a=5.094 b=5.094 c=3.585 alpha=90.00 beta=90.00 gamma=90.00
Fractional coordinates of all 4 atoms:
Pm 0.000 0.500 0.000
Pm 0.500 0.000 0.000
P 0.000 0.000 0.500
Se 0.500 0.500 0.500



(11)
Below is a geometry-optimized DyEr3Ag4 structure, with properties calculated at the PBE level.

Properties
Density (Mg/m³): 9.6
E_tot (Ha/atom): -0.14855
Calculated formation energy (eV/atom): -0.33
SG: No. 47

Unit cell a=3.580 b=5.133 c=10.264 alpha=90.00 beta=90.00 gamma=90.00
Fractional coordinates of all 8 atoms:
Dy 0.000 0.000 0.000
Er 0.000 0.000 0.500
Er 0.000 0.500 0.251
Er 0.000 0.500 0.749
Ag 0.500 0.000 0.252
Ag 0.500 0.000 0.748
Ag 0.500 0.500 0.000
Ag 0.500 0.500 0.500



(12)
Below is a geometry-optimized Pu3BiSb2 structure, with properties calculated at the PBE level.

Properties
Density (Mg/m³): 11.1
Excess energy over the best structure of this formula in the dataset (eV/atom): 0.027
E_tot (Ha/atom): -0.35472
SG: No. 62

Unit cell a=23.157 b=4.717 c=6.482 alpha=90.00 beta=90.00 gamma=90.00
Fractional coordinates of all 24 atoms:
Pu 0.036 0.250 0.133
Pu 0.111 0.750 0.432
Pu 0.201 0.250 0.910
Pu 0.299 0.750 0.410
Pu 0.389 0.250 0.932
Pu 0.464 0.750 0.633
Pu 0.536 0.250 0.367
Pu 0.611 0.750 0.068
Pu 0.701 0.250 0.590
Pu 0.799 0.750 0.090
Pu 0.889 0.250 0.568
Pu 0.964 0.750 0.867
Bi 0.204 0.250 0.408
Bi 0.296 0.750 0.908
Bi 0.704 0.250 0.092
Bi 0.796 0.750 0.592
Sb 0.033 0.250 0.627
Sb 0.109 0.750 0.933
Sb 0.391 0.250 0.433
Sb 0.467 0.750 0.127
Sb 0.533 0.250 0.873
Sb 0.609 0.750 0.567
Sb 0.891 0.250 0.067
Sb 0.967 0.750 0.373



(13)
Below is a geometry-optimized MnTe3Pd structure, with properties calculated at the PBE level.

Properties
Density (Mg/m³): 6.3
Excess energy over the best structure of this formula in the dataset (eV/atom): 1.256
E_tot (Ha/atom): -0.13556
SG: No. 221

Unit cell a=5.231 b=5.231 c=5.231 alpha=90.00 beta=90.00 gamma=90.00
Fractional coordinates of all 5 atoms:
Mn 0.000 0.000 0.000
Te 0.000 0.500 0.500
Te 0.500 0.000 0.500
Te 0.500 0.500 0.000
Pd 0.500 0.500 0.500



(14)
Below is a geometry-optimized Dy2Sc3Pb4 structure, with properties calculated at the PBE level.

Properties
Density (Mg/m³): 9.0
E_tot (Ha/atom): -0.19469
Calculated formation energy (eV/atom): -0.52
SG: No. 14

Unit cell a=8.097 b=8.048 c=7.861 alpha=90.00 beta=111.54 gamma=90.00
Fractional coordinates of all 18 atoms:
Dy 0.192 0.180 0.052
Dy 0.192 0.320 0.552
Dy 0.808 0.680 0.448
Dy 0.808 0.820 0.948
Sc 0.246 0.655 0.239
Sc 0.246 0.845 0.739
Sc 0.500 0.000 0.500
Sc 0.500 0.500 0.000
Sc 0.754 0.155 0.261
Sc 0.754 0.345 0.761
Pb 0.088 0.544 0.832
Pb 0.088 0.956 0.332
Pb 0.496 0.143 0.857
Pb 0.496 0.357 0.357
Pb 0.504 0.643 0.643
Pb 0.504 0.857 0.143
Pb 0.912 0.044 0.668
Pb 0.912 0.456 0.168



(15)
Below is a geometry-optimized Si2PW structure, with properties calculated at the PBE level.

Properties
Density (Mg/m³): 7.6
E_tot (Ha/atom): -0.26799
SG: No. 38

Unit cell a=4.068 b=4.763 c=4.763 alpha=40.09 beta=90.00 gamma=90.00
Fractional coordinates of all 4 atoms:
Si 0.000 0.000 0.000
Si 0.500 0.311 0.311
P 0.000 0.745 0.745
W 0.500 0.595 0.595



(16)
Below is a geometry-optimized AgHgSe2 structure, with properties calculated at the PBE level.

Properties
Density (Mg/m³): 8.8
E_tot (Ha/atom): -0.08567
SG: No. 123

Unit cell a=3.915 b=3.915 c=5.755 alpha=90.00 beta=90.00 gamma=90.00
Fractional coordinates of all 4 atoms:
Ag 0.000 0.000 0.000
Hg 0.000 0.000 0.500
Se 0.500 0.500 0.243
Se 0.500 0.500 0.757



(17)
Below is a geometry-optimized Ac2PuPb9 structure, with properties calculated at the PBE level.

Properties
Density (Mg/m³): 11.4
E_tot (Ha/atom): -0.18332
Calculated formation energy (eV/atom): -0.33
SG: No. 123

Unit cell a=5.002 b=5.002 c=14.940 alpha=90.00 beta=90.00 gamma=90.00
Fractional coordinates of all 12 atoms:
Ac 0.000 0.000 0.171
Ac 0.000 0.000 0.829
Pu 0.000 0.000 0.500
Pb 0.000 0.500 0.000
Pb 0.000 0.500 0.343
Pb 0.000 0.500 0.657
Pb 0.500 0.000 0.000
Pb 0.500 0.000 0.343
Pb 0.500 0.000 0.657
Pb 0.500 0.500 0.170
Pb 0.500 0.500 0.500
Pb 0.500 0.500 0.830



(18)
Below is a geometry-optimized V2AgI structure, with properties calculated at the PBE level.

Properties
Density (Mg/m³): 6.3
Excess energy over the best structure of this formula in the dataset (eV/atom): 0.156
E_tot (Ha/atom): -0.17216
SG: No. 122

Unit cell a=6.140 b=6.140 c=6.140 alpha=106.74 beta=106.74 gamma=115.07
Fractional coordinates of all 8 atoms:
V 0.123 0.625 0.998
V 0.375 0.373 0.498
V 0.627 0.125 0.002
V 0.875 0.877 0.502
Ag 0.000 0.000 0.000
Ag 0.750 0.250 0.500
I 0.250 0.750 0.500
I 0.500 0.500 0.000



(19)
Below is a geometry-optimized CeP2Rh structure, with properties calculated at the PBE level.

Properties
Density (Mg/m³): 7.3
Excess energy over the best structure of this formula in the dataset (eV/atom): 0.000
E_tot (Ha/atom): -0.26059
Calculated formation energy (eV/atom): -1.06
SG: No. 62

Unit cell a=6.875 b=4.206 c=9.614 alpha=90.00 beta=90.00 gamma=90.00
Fractional coordinates of all 16 atoms:
Ce 0.143 0.250 0.131
Ce 0.357 0.750 0.631
Ce 0.643 0.250 0.369
Ce 0.857 0.750 0.869
P 0.145 0.250 0.819
P 0.213 0.250 0.421
P 0.287 0.750 0.921
P 0.355 0.750 0.319
P 0.645 0.250 0.681
P 0.713 0.250 0.079
P 0.787 0.750 0.579
P 0.855 0.750 0.181
Rh 0.021 0.750 0.393
Rh 0.479 0.250 0.893
Rh 0.521 0.750 0.107
Rh 0.979 0.250 0.607



(20)
Below is a geometry-optimized CaBeSnO4 structure, with properties calculated at the PBE level.

Properties
Density (Mg/m³): 4.4
E_tot (Ha/atom): -0.23627
SG: No. 63

Unit cell a=5.538 b=5.538 c=6.229 alpha=90.00 beta=90.00 gamma=113.19
Fractional coordinates of all 14 atoms:
Ca 0.000 0.000 0.000
Ca 0.000 0.000 0.500
Be 0.357 0.643 0.750
Be 0.643 0.357 0.250
Sn 0.355 0.645 0.250
Sn 0.645 0.355 0.750
O 0.254 0.746 0.532
O 0.254 0.746 0.968
O 0.264 0.307 0.750
O 0.307 0.264 0.250
O 0.693 0.736 0.750
O 0.736 0.693 0.250
O 0.746 0.254 0.032
O 0.746 0.254 0.468